Compound: Nb8VH6
Source: Alexandria via LeMat-Bulk
Functional: PBE-GGA
Structure: relaxed Values from VASP.

Values from the calculation:
E_tot   -7.417 eV per atom
Volume   178.07 Å³ per cell

The structure in Quantum ESPRESSO input format:
```
&SYSTEM
  ibrav = 0, nat = 15, ntyp = 3
/
ATOMIC_SPECIES
Nb 92.91 Nb.upf
V 50.94 V.upf
H 1.01 H.upf
ATOMIC_POSITIONS crystal
Nb 0.001 0.320 0.277
Nb 0.318 0.999 0.277
Nb 0.320 0.318 0.723
Nb 0.333 0.667 0.020
Nb 0.667 0.333 0.980
Nb 0.680 0.682 0.277
Nb 0.682 0.001 0.723
Nb 0.999 0.680 0.723
V 0.000 0.000 0.500
H 0.096 0.507 0.758
H 0.411 0.904 0.758
H 0.493 0.589 0.758
H 0.507 0.411 0.242
H 0.589 0.096 0.242
H 0.904 0.493 0.242
CELL_PARAMETERS angstrom
8.468 0.000 0.000
-4.234 7.333 0.000
0.000 0.000 2.867
```